Entry P
VASP calculation (PBE-GGA) on a geometry-optimized TlSb2Ir2 structure. Values from VASP.

Cell and atoms, written as Quantum ESPRESSO input:
```
&SYSTEM
  ibrav = 0, nat = 10, ntyp = 3
/
ATOMIC_SPECIES
Tl 204.38 Tl.upf
Sb 121.76 Sb.upf
Ir 192.22 Ir.upf
ATOMIC_POSITIONS crystal
Tl 0.000 0.000 0.000
Tl 0.500 0.500 0.000
Sb 0.152 0.348 0.500
Sb 0.348 0.848 0.500
Sb 0.652 0.152 0.500
Sb 0.848 0.652 0.500
Ir 0.131 0.631 0.000
Ir 0.369 0.131 0.000
Ir 0.631 0.869 0.000
Ir 0.869 0.369 0.000
CELL_PARAMETERS angstrom
8.141 0.000 0.000
0.000 8.141 0.000
0.000 0.000 3.135
```

Entry Q
VASP calculation (PBE-GGA) on a geometry-optimized TlSb2Ir2 structure. Values from VASP.

Cell and atoms, written as Quantum ESPRESSO input:
```
&SYSTEM
  ibrav = 0, nat = 10, ntyp = 3
/
ATOMIC_SPECIES
Tl 204.38 Tl.upf
Sb 121.76 Sb.upf
Ir 192.22 Ir.upf
ATOMIC_POSITIONS crystal
Tl 0.000 0.000 0.000
Tl 0.500 0.500 0.500
Sb 0.000 0.000 0.360
Sb 0.000 0.000 0.640
Sb 0.500 0.500 0.140
Sb 0.500 0.500 0.860
Ir 0.000 0.500 0.250
Ir 0.000 0.500 0.750
Ir 0.500 0.000 0.250
Ir 0.500 0.000 0.750
CELL_PARAMETERS angstrom
4.169 0.000 0.000
0.000 4.169 0.000
0.000 0.000 14.434
```

Least stable of them? entry P.

Entry P
VASP calculation (PBE-GGA) on a geometry-optimized TlSbIr structure. Values from VASP.

Cell and atoms, written as Quantum ESPRESSO input:
```
&SYSTEM
  ibrav = 0, nat = 3, ntyp = 3
/
ATOMIC_SPECIES
Tl 204.38 Tl.upf
Sb 121.76 Sb.upf
Ir 192.22 Ir.upf
ATOMIC_POSITIONS crystal
Tl 0.000 0.000 0.000
Sb 0.667 0.333 0.500
Ir 0.333 0.667 0.500
CELL_PARAMETERS angstrom
4.783 0.000 0.000
-2.392 4.143 0.000
0.000 0.000 3.315
```

Entry Q
VASP calculation (PBE-GGA) on a geometry-optimized TlSbIr structure. Values from VASP.

Cell and atoms, written as Quantum ESPRESSO input:
```
&SYSTEM
  ibrav = 0, nat = 12, ntyp = 3
/
ATOMIC_SPECIES
Tl 204.38 Tl.upf
Sb 121.76 Sb.upf
Ir 192.22 Ir.upf
ATOMIC_POSITIONS crystal
Tl 0.000 0.000 0.197
Tl 0.000 0.000 0.803
Tl 0.500 0.500 0.303
Tl 0.500 0.500 0.697
Sb 0.000 0.000 0.406
Sb 0.000 0.000 0.594
Sb 0.500 0.500 0.094
Sb 0.500 0.500 0.906
Ir 0.000 0.500 0.000
Ir 0.000 0.500 0.500
Ir 0.500 0.000 0.000
Ir 0.500 0.000 0.500
CELL_PARAMETERS angstrom
3.949 0.000 0.000
0.000 3.949 0.000
0.000 0.000 19.584
```

Least stable of them? entry P.

Entry P
VASP calculation (PBE-GGA) on a geometry-optimized Tl2SbIr2 structure. Values from VASP.

Cell and atoms, written as Quantum ESPRESSO input:
```
&SYSTEM
  ibrav = 0, nat = 10, ntyp = 3
/
ATOMIC_SPECIES
Tl 204.38 Tl.upf
Sb 121.76 Sb.upf
Ir 192.22 Ir.upf
ATOMIC_POSITIONS crystal
Tl 0.000 0.000 0.119
Tl 0.000 0.000 0.881
Tl 0.500 0.500 0.381
Tl 0.500 0.500 0.619
Sb 0.000 0.000 0.500
Sb 0.500 0.500 0.000
Ir 0.000 0.500 0.250
Ir 0.000 0.500 0.750
Ir 0.500 0.000 0.250
Ir 0.500 0.000 0.750
CELL_PARAMETERS angstrom
3.618 0.000 0.000
0.000 3.618 0.000
0.000 0.000 18.567
```

Entry Q
VASP calculation (PBE-GGA) on a geometry-optimized Tl2SbIr2 structure. Values from VASP.

Cell and atoms, written as Quantum ESPRESSO input:
```
&SYSTEM
  ibrav = 0, nat = 10, ntyp = 3
/
ATOMIC_SPECIES
Tl 204.38 Tl.upf
Sb 121.76 Sb.upf
Ir 192.22 Ir.upf
ATOMIC_POSITIONS crystal
Tl 0.140 0.360 0.000
Tl 0.360 0.860 0.000
Tl 0.640 0.140 0.000
Tl 0.860 0.640 0.000
Sb 0.000 0.000 0.500
Sb 0.500 0.500 0.500
Ir 0.161 0.661 0.500
Ir 0.339 0.161 0.500
Ir 0.661 0.839 0.500
Ir 0.839 0.339 0.500
CELL_PARAMETERS angstrom
8.016 0.000 0.000
0.000 8.016 0.000
0.000 0.000 3.170
```

Least stable of them? entry P.

Entry P
VASP calculation (PBE-GGA) on a geometry-optimized Tm7Sb2Ir2 structure. Values from VASP.

Cell and atoms, written as Quantum ESPRESSO input:
```
&SYSTEM
  ibrav = 0, nat = 11, ntyp = 3
/
ATOMIC_SPECIES
Tm 168.93 Tm.upf
Sb 121.76 Sb.upf
Ir 192.22 Ir.upf
ATOMIC_POSITIONS crystal
Tm 0.000 0.000 0.000
Tm 0.062 0.376 0.686
Tm 0.097 0.744 0.353
Tm 0.392 0.744 0.647
Tm 0.461 0.588 0.873
Tm 0.689 0.376 0.314
Tm 0.715 0.588 0.127
Sb 0.333 0.333 0.000
Sb 0.746 0.246 0.500
Ir 0.312 0.071 0.241
Ir 0.830 0.071 0.759
CELL_PARAMETERS angstrom
-1.998 7.784 4.571
1.998 -7.784 4.571
1.998 7.784 -4.571
```

Entry Q
VASP calculation (PBE-GGA) on a geometry-optimized Tm7Sb2Ir2 structure. Values from VASP.

Cell and atoms, written as Quantum ESPRESSO input:
```
&SYSTEM
  ibrav = 0, nat = 11, ntyp = 3
/
ATOMIC_SPECIES
Tm 168.93 Tm.upf
Sb 121.76 Sb.upf
Ir 192.22 Ir.upf
ATOMIC_POSITIONS crystal
Tm 0.000 0.000 0.000
Tm 0.000 0.500 0.239
Tm 0.000 0.500 0.761
Tm 0.500 0.000 0.239
Tm 0.500 0.000 0.761
Tm 0.500 0.500 0.231
Tm 0.500 0.500 0.769
Sb 0.215 0.215 0.500
Sb 0.785 0.785 0.500
Ir 0.278 0.722 0.000
Ir 0.722 0.278 0.000
CELL_PARAMETERS angstrom
4.376 -5.147 0.000
4.376 5.147 0.000
0.000 0.000 7.077
```

Least stable of them? entry Q.